1.
A plane-wave DFT calculation with PBE-GGA was carried out for a relaxed structure of SrNdGaO4. Values from VASP.

Properties
energy above the most stable polymorph in this dataset = 0 meV/atom
energy relative to the elements, uncorrected = -2.67 eV/atom
size of the total moment = 0.000 μB per atom

```
&SYSTEM
  ibrav = 0, nat = 7, ntyp = 4
/
ATOMIC_SPECIES
Sr 87.62 Sr.upf
O 16.00 O.upf
Ga 69.72 Ga.upf
Nd 144.24 Nd.upf
CELL_PARAMETERS angstrom
6.8382 0.0044 0.0000
4.6507 5.0132 0.0000
-5.7444 -2.5088 2.7328
ATOMIC_POSITIONS crystal
Sr 0.6442 0.6442 0.0000
O 0.4919 0.9919 0.5000
Ga 0.0055 0.0055 0.0000
O 0.1714 0.1714 0.0000
O 0.8350 0.8350 0.0000
O 0.9919 0.4919 0.5000
Nd 0.3602 0.3602 0.0000
```

2.
A plane-wave DFT calculation with PBE-GGA was carried out for a relaxed structure of SrNdGaO4. Values from VASP.

Properties
energy above the most stable polymorph in this dataset = 15 meV/atom
energy relative to the elements, uncorrected = -2.65 eV/atom
size of the total moment = 0.000 μB per atom

```
&SYSTEM
  ibrav = 0, nat = 14, ntyp = 4
/
ATOMIC_SPECIES
Ga 69.72 Ga.upf
O 16.00 O.upf
Nd 144.24 Nd.upf
Sr 87.62 Sr.upf
CELL_PARAMETERS angstrom
5.4504 0.0000 0.0000
0.0000 5.4508 0.0000
-2.7252 0.0000 6.3151
ATOMIC_POSITIONS crystal
Ga 0.7441 0.2500 0.4882
Ga 0.2559 0.7500 0.5118
O 0.5000 0.0000 0.5000
O 0.0735 0.7500 0.1470
O 0.4133 0.7500 0.8265
O 0.5867 0.2500 0.1735
Nd 0.8889 0.7500 0.7777
Nd 0.1111 0.2500 0.2223
O 0.9265 0.2500 0.8530
O 0.0000 0.5000 0.5000
O 0.0000 0.0000 0.5000
O 0.5000 0.5000 0.5000
Sr 0.6042 0.7500 0.2084
Sr 0.3958 0.2500 0.7916
```

3.
A plane-wave DFT calculation with PBE-GGA was carried out for a relaxed structure of SrNdGa3O7. Values from VASP.

Properties
energy relative to the elements, uncorrected = -2.42 eV/atom
size of the total moment = 0.000 μB per atom

```
&SYSTEM
  ibrav = 0, nat = 24, ntyp = 4
/
ATOMIC_SPECIES
O 16.00 O.upf
Ga 69.72 Ga.upf
Sr 87.62 Sr.upf
Nd 144.24 Nd.upf
CELL_PARAMETERS angstrom
8.0836 0.0030 0.0000
-0.0784 8.0832 0.0000
0.0000 0.0000 5.3602
ATOMIC_POSITIONS crystal
O 0.0000 0.0000 0.8187
O 0.3714 0.6286 0.6941
O 0.5820 0.1650 0.2036
Ga 0.5000 0.0000 0.9975
Ga 0.0000 0.5000 0.9975
O 0.9035 0.6576 0.7898
Ga 0.3583 0.6417 0.0336
O 0.6576 0.9035 0.7898
Sr 0.1619 0.8381 0.4898
O 0.3424 0.0965 0.7898
Nd 0.3387 0.3387 0.5140
Ga 0.6417 0.3583 0.0336
O 0.6286 0.3714 0.6941
O 0.8474 0.8474 0.3041
O 0.5000 0.5000 0.2090
O 0.4180 0.8350 0.2036
Sr 0.8381 0.1619 0.4898
O 0.0965 0.3424 0.7898
O 0.8350 0.4180 0.2036
Nd 0.6613 0.6613 0.5140
Ga 0.1464 0.1464 0.9664
O 0.1526 0.1526 0.3041
O 0.1650 0.5820 0.2036
Ga 0.8536 0.8536 0.9664
```

4.
A plane-wave DFT calculation with PBE-GGA was carried out for a relaxed structure of Tb2Nd4Ga3O2. Values from VASP.

Properties
energy relative to the elements, uncorrected = -1.28 eV/atom
size of the total moment = 0.000 μB per atom

```
&SYSTEM
  ibrav = 0, nat = 11, ntyp = 4
/
ATOMIC_SPECIES
Nd 144.24 Nd.upf
Tb 158.93 Tb.upf
Ga 69.72 Ga.upf
O 16.00 O.upf
CELL_PARAMETERS angstrom
4.8180 0.0000 0.0000
0.0000 4.8180 0.0000
-2.4090 -2.4090 11.7400
ATOMIC_POSITIONS crystal
Nd 0.9155 0.4155 0.8311
Nd 0.4155 0.9155 0.8311
Nd 0.0845 0.5845 0.1689
Tb 0.2970 0.2970 0.5939
Ga 0.8288 0.8288 0.6576
O 0.3929 0.3929 0.7858
Ga 0.1712 0.1712 0.3424
Nd 0.5845 0.0845 0.1689
Ga 0.0000 0.0000 0.0000
O 0.6071 0.6071 0.2142
Tb 0.7030 0.7030 0.4061
```

5.
A plane-wave DFT calculation with PBE-GGA was carried out for a relaxed structure of NdGa2TcO8. Values from VASP.

Properties
energy relative to the elements, uncorrected = -1.79 eV/atom
size of the total moment = 0.000 μB per atom

```
&SYSTEM
  ibrav = 0, nat = 12, ntyp = 4
/
ATOMIC_SPECIES
O 16.00 O.upf
Tc 98.00 Tc.upf
Ga 69.72 Ga.upf
Nd 144.24 Nd.upf
CELL_PARAMETERS angstrom
-1.7550 -2.0073 -4.0254
-3.5120 -2.5806 2.0749
-3.4557 5.7619 -0.4538
ATOMIC_POSITIONS crystal
O 0.7882 0.2042 0.2056
Tc 0.0000 0.0000 0.0000
O 0.2118 0.7958 0.7944
O 0.2037 0.7877 0.2056
O 0.3255 0.3251 0.5094
Ga 0.4547 0.4546 0.2818
O 0.7412 0.7417 0.9502
Nd 0.0000 0.0000 0.5000
O 0.6745 0.6749 0.4906
O 0.2588 0.2583 0.0498
Ga 0.5453 0.5454 0.7182
O 0.7963 0.2123 0.7944
```

6.
A plane-wave DFT calculation with PBE-GGA was carried out for a relaxed structure of NdTl2GaO6. Values from VASP.

Properties
energy relative to the elements, uncorrected = -1.56 eV/atom
size of the total moment = 0.000 μB per atom

```
&SYSTEM
  ibrav = 0, nat = 10, ntyp = 4
/
ATOMIC_SPECIES
Tl 204.38 Tl.upf
O 16.00 O.upf
Ga 69.72 Ga.upf
Nd 144.24 Nd.upf
CELL_PARAMETERS angstrom
-1.6926 2.5052 -4.8270
-5.4193 -0.4516 -1.6945
-3.5229 4.8614 0.3984
ATOMIC_POSITIONS crystal
Tl 0.0254 0.0254 0.9237
O 0.6820 0.1322 0.7778
O 0.4079 0.6820 0.7778
O 0.2140 0.9613 0.2466
Ga 0.3189 0.3189 0.0432
Nd 0.8059 0.8059 0.5823
O 0.5781 0.2140 0.2466
O 0.1323 0.4079 0.7777
O 0.9612 0.5781 0.2466
Tl 0.5357 0.5357 0.3929
```

7.
A plane-wave DFT calculation with PBE-GGA was carried out for a relaxed structure of Nd12Tl4GaO3. Values from VASP.

Properties
energy relative to the elements, uncorrected = -0.99 eV/atom
size of the total moment = 0.000 μB per atom

```
&SYSTEM
  ibrav = 0, nat = 20, ntyp = 4
/
ATOMIC_SPECIES
O 16.00 O.upf
Ga 69.72 Ga.upf
Tl 204.38 Tl.upf
Nd 144.24 Nd.upf
CELL_PARAMETERS angstrom
-5.4596 3.9432 -5.8450
-2.4745 -8.4942 1.1159
-0.4273 4.2718 7.8159
ATOMIC_POSITIONS crystal
O 0.0000 0.5000 0.5000
O 0.5000 0.5000 0.0000
Ga 0.0000 0.0000 0.0000
Tl 0.0000 0.5000 0.0000
Nd 0.2500 0.5000 0.7500
Nd 0.5000 0.2500 0.7500
Nd 0.2500 0.7500 0.5000
Tl 0.5000 0.5000 0.5000
Nd 0.0000 0.7337 0.7337
Tl 0.5000 0.0000 0.0000
Nd 0.7337 0.7337 0.0000
Nd 0.7337 0.0000 0.7337
Nd 0.7500 0.5000 0.2500
Tl 0.0000 0.0000 0.5000
Nd 0.2663 0.2663 0.0000
O 0.5000 0.0000 0.5000
Nd 0.2663 0.0000 0.2663
Nd 0.5000 0.7500 0.2500
Nd 0.0000 0.2663 0.2663
Nd 0.7500 0.2500 0.5000
```

8.
A plane-wave DFT calculation with PBE-GGA was carried out for a relaxed structure of Nd4TlGaO. Values from VASP.

Properties
energy relative to the elements, uncorrected = -1.04 eV/atom
size of the total moment = 0.000 μB per atom

```
&SYSTEM
  ibrav = 0, nat = 14, ntyp = 4
/
ATOMIC_SPECIES
Tl 204.38 Tl.upf
Nd 144.24 Nd.upf
Ga 69.72 Ga.upf
O 16.00 O.upf
CELL_PARAMETERS angstrom
-5.3204 2.1315 3.5520
-3.7728 -0.0795 -5.6033
0.5012 -9.0662 -0.2088
ATOMIC_POSITIONS crystal
Tl 0.6085 0.7500 0.2171
Nd 0.4196 0.7500 0.8391
Ga 0.1187 0.2500 0.2374
Nd 0.9385 0.2500 0.8771
Nd 0.0000 0.0000 0.5000
Nd 0.5000 0.0000 0.5000
Nd 0.5000 0.5000 0.5000
O 0.2703 0.7500 0.5405
Tl 0.3915 0.2500 0.7829
Nd 0.0615 0.7500 0.1229
O 0.7297 0.2500 0.4595
Nd 0.5804 0.2500 0.1609
Ga 0.8813 0.7500 0.7626
Nd 0.0000 0.5000 0.5000
```

9.
A plane-wave DFT calculation with PBE-GGA was carried out for a relaxed structure of Nd3Tm2Ga3O12. Values from VASP.

Properties
energy relative to the elements, uncorrected = -2.94 eV/atom
size of the total moment = 0.000 μB per atom

```
&SYSTEM
  ibrav = 0, nat = 80, ntyp = 4
/
ATOMIC_SPECIES
Ga 69.72 Ga.upf
O 16.00 O.upf
Nd 144.24 Nd.upf
Tm 168.93 Tm.upf
CELL_PARAMETERS angstrom
11.2800 0.0000 0.0000
-3.7600 10.6349 0.0000
-3.7600 -5.3174 9.2101
ATOMIC_POSITIONS crystal
Ga 0.3750 0.2500 0.6250
O 0.7847 0.8732 0.9722
O 0.0278 0.2153 0.1268
O 0.3732 0.2847 0.4722
O 0.4009 0.8124 0.5278
O 0.4115 0.0991 0.6268
O 0.0885 0.8732 0.4009
Nd 0.6250 0.8750 0.7500
Tm 0.5000 0.0000 0.5000
Tm 0.0000 0.0000 0.5000
Ga 0.1250 0.7500 0.8750
O 0.5991 0.9115 0.1268
Nd 0.8750 0.7500 0.6250
Nd 0.2500 0.3750 0.1250
Nd 0.8750 0.6250 0.2500
O 0.7847 0.4115 0.8124
Nd 0.7500 0.1250 0.3750
O 0.9009 0.3732 0.5885
O 0.5885 0.1876 0.2153
Ga 0.8750 0.2500 0.1250
O 0.5885 0.9009 0.3732
O 0.4115 0.8124 0.7847
Tm 0.5000 0.5000 0.5000
Nd 0.6250 0.2500 0.8750
Nd 0.3750 0.1250 0.2500
O 0.5278 0.4009 0.8124
O 0.0278 0.3124 0.9009
O 0.6876 0.0991 0.9722
Nd 0.1250 0.3750 0.7500
Tm 0.0000 0.5000 0.5000
Nd 0.7500 0.6250 0.8750
O 0.2153 0.1268 0.0278
O 0.9115 0.2847 0.3124
Ga 0.2500 0.6250 0.3750
Ga 0.1250 0.8750 0.2500
O 0.8732 0.9722 0.7847
Nd 0.3750 0.7500 0.1250
O 0.7153 0.6876 0.0885
Ga 0.2500 0.1250 0.8750
O 0.8124 0.5278 0.4009
O 0.9722 0.6876 0.0991
O 0.1876 0.2153 0.5885
O 0.4722 0.3732 0.2847
Ga 0.6250 0.3750 0.2500
O 0.3732 0.5885 0.9009
O 0.6268 0.4115 0.0991
O 0.3124 0.9009 0.0278
Tm 0.0000 0.0000 0.0000
O 0.0991 0.6268 0.4115
O 0.0885 0.7153 0.6876
O 0.1268 0.5991 0.9115
Ga 0.8750 0.1250 0.7500
O 0.0991 0.9722 0.6876
Tm 0.0000 0.5000 0.0000
Nd 0.1250 0.2500 0.3750
O 0.9009 0.0278 0.3124
O 0.1876 0.4722 0.5991
Ga 0.6250 0.7500 0.3750
O 0.3124 0.9115 0.2847
Ga 0.7500 0.3750 0.6250
O 0.4009 0.0885 0.8732
O 0.1268 0.0278 0.2153
O 0.7153 0.5278 0.6268
O 0.8124 0.7847 0.4115
Tm 0.5000 0.5000 0.0000
O 0.9722 0.7847 0.8732
Ga 0.7500 0.8750 0.1250
O 0.4722 0.5991 0.1876
O 0.6268 0.7153 0.5278
O 0.5278 0.6268 0.7153
O 0.2153 0.5885 0.1876
O 0.9115 0.1268 0.5991
Tm 0.5000 0.0000 0.0000
Nd 0.2500 0.8750 0.6250
Ga 0.3750 0.6250 0.7500
O 0.5991 0.1876 0.4722
O 0.6876 0.0885 0.7153
O 0.2847 0.4722 0.3732
O 0.2847 0.3124 0.9115
O 0.8732 0.4009 0.0885
```

10.
A plane-wave DFT calculation with PBE-GGA was carried out for a relaxed structure of NdGa4Os. Values from VASP.

Properties
size of the total moment = 0.000 μB per atom
VASP energy = -185.4 eV/cell

```
&SYSTEM
  ibrav = 0, nat = 36, ntyp = 3
/
ATOMIC_SPECIES
Ga 69.72 Ga.upf
Os 190.23 Os.upf
Nd 144.24 Nd.upf
CELL_PARAMETERS angstrom
7.7100 0.0000 0.0000
0.0000 8.8047 0.0000
0.0000 0.0000 9.7210
ATOMIC_POSITIONS crystal
Ga 0.5456 0.8422 0.2500
Os 0.5000 0.2604 0.5000
Ga 0.5456 0.1578 0.2500
Ga 0.6622 0.0000 0.5619
Ga 0.3424 0.5000 0.4118
Nd 0.3178 0.5000 0.7500
Ga 0.8677 0.0000 0.2500
Ga 0.4544 0.1578 0.7500
Ga 0.6576 0.5000 0.9118
Ga 0.4544 0.8422 0.7500
Nd 0.1587 0.2472 0.2500
Os 0.5000 0.7396 0.0000
Os 0.5000 0.7396 0.5000
Ga 0.0000 0.5000 0.0000
Ga 0.1793 0.2373 0.5754
Os 0.0000 0.0000 0.0000
Ga 0.6576 0.5000 0.5882
Ga 0.1793 0.7627 0.5754
Ga 0.3378 0.0000 0.0619
Ga 0.1323 0.0000 0.7500
Ga 0.8207 0.7627 0.4246
Ga 0.8207 0.7627 0.0754
Nd 0.6822 0.5000 0.2500
Ga 0.8207 0.2373 0.4246
Ga 0.1793 0.7627 0.9246
Nd 0.8413 0.2472 0.7500
Nd 0.1587 0.7528 0.2500
Ga 0.1793 0.2373 0.9246
Ga 0.3378 0.0000 0.4381
Os 0.0000 0.0000 0.5000
Nd 0.8413 0.7528 0.7500
Os 0.5000 0.2604 0.0000
Ga 0.3424 0.5000 0.0882
Ga 0.0000 0.5000 0.5000
Ga 0.6622 0.0000 0.9381
Ga 0.8207 0.2373 0.0754
```

11.
A plane-wave DFT calculation with PBE-GGA was carried out for a relaxed structure of Nd12Ga6Os. Values from VASP.

Properties
size of the total moment = 0.000 μB per atom
VASP energy = -90.0 eV/cell

```
&SYSTEM
  ibrav = 0, nat = 19, ntyp = 3
/
ATOMIC_SPECIES
Nd 144.24 Nd.upf
Ga 69.72 Ga.upf
Os 190.23 Os.upf
CELL_PARAMETERS angstrom
-4.3199 -3.4476 -6.6382
-2.7989 -5.1898 6.3124
-5.0356 6.8532 1.5133
ATOMIC_POSITIONS crystal
Nd 0.5667 0.1826 0.4306
Ga 0.1356 0.6324 0.3025
Nd 0.6810 0.9360 0.0298
Nd 0.9702 0.3190 0.0640
Ga 0.8644 0.3676 0.6975
Nd 0.1826 0.4306 0.5667
Nd 0.4306 0.5667 0.1826
Nd 0.0640 0.9702 0.3190
Ga 0.3025 0.1356 0.6324
Nd 0.4333 0.8174 0.5694
Nd 0.5694 0.4333 0.8174
Ga 0.6324 0.3025 0.1356
Nd 0.8174 0.5694 0.4333
Os 0.0000 0.0000 0.0000
Ga 0.3676 0.6975 0.8644
Ga 0.6975 0.8644 0.3676
Nd 0.0298 0.6810 0.9360
Nd 0.9360 0.0298 0.6810
Nd 0.3190 0.0640 0.9702
```

12.
A plane-wave DFT calculation with PBE-GGA was carried out for a relaxed structure of Nd3Ga9Os2. Values from VASP.

Properties
size of the total moment = 0.000 μB per atom
VASP energy = -70.5 eV/cell

```
&SYSTEM
  ibrav = 0, nat = 14, ntyp = 3
/
ATOMIC_SPECIES
Ga 69.72 Ga.upf
Nd 144.24 Nd.upf
Os 190.23 Os.upf
CELL_PARAMETERS angstrom
-1.4691 4.0304 0.7026
-4.0482 2.0716 -6.9009
-8.1401 -0.8260 1.1652
ATOMIC_POSITIONS crystal
Ga 0.1280 0.5888 0.1551
Ga 0.3485 0.2907 0.0123
Ga 0.0000 0.5000 0.5000
Ga 0.8720 0.8449 0.4112
Nd 0.7019 0.2981 0.2981
Nd 0.2981 0.7019 0.7019
Os 0.5000 0.3247 0.6753
Nd 0.0000 0.0000 0.0000
Ga 0.6515 0.9877 0.7093
Ga 0.8720 0.4112 0.8449
Ga 0.3485 0.0123 0.2907
Os 0.5000 0.6753 0.3247
Ga 0.6515 0.7093 0.9877
Ga 0.1280 0.1551 0.5888
```

13.
A plane-wave DFT calculation with PBE-GGA was carried out for a relaxed structure of Nd2GaOs. Values from VASP.

Properties
size of the total moment = 0.000 μB per atom
VASP energy = -50.0 eV/cell

```
&SYSTEM
  ibrav = 0, nat = 8, ntyp = 3
/
ATOMIC_SPECIES
Ga 69.72 Ga.upf
Os 190.23 Os.upf
Nd 144.24 Nd.upf
CELL_PARAMETERS angstrom
4.1877 0.0000 0.0000
0.0000 5.5781 -2.2452
0.0000 -0.1090 8.5462
ATOMIC_POSITIONS crystal
Ga 0.7500 0.6439 0.7856
Ga 0.2500 0.3561 0.2144
Os 0.2500 0.3666 0.7208
Nd 0.2500 0.7861 0.5567
Os 0.7500 0.6334 0.2792
Nd 0.7500 0.2139 0.4433
Nd 0.7500 0.2228 0.9127
Nd 0.2500 0.7772 0.0873
```

14.
A plane-wave DFT calculation with PBE-GGA was carried out for a relaxed structure of Nd8Ga2Os. Values from VASP.

Properties
energy above the most stable polymorph in this dataset = 0 meV/atom
size of the total moment = 0.000 μB per atom

```
&SYSTEM
  ibrav = 0, nat = 11, ntyp = 3
/
ATOMIC_SPECIES
Nd 144.24 Nd.upf
Ga 69.72 Ga.upf
Os 190.23 Os.upf
CELL_PARAMETERS angstrom
5.1617 0.0000 0.0000
0.0000 6.9362 0.3441
-2.5809 -2.5450 8.8229
ATOMIC_POSITIONS crystal
Nd 0.9774 0.2156 0.9548
Nd 0.4093 0.5622 0.8186
Nd 0.3454 0.0408 0.6908
Nd 0.0226 0.7844 0.0452
Nd 0.7943 0.6973 0.5887
Ga 0.8110 0.2686 0.6220
Ga 0.1890 0.7314 0.3780
Nd 0.2057 0.3027 0.4113
Nd 0.5907 0.4378 0.1814
Nd 0.6546 0.9592 0.3092
Os 0.5000 0.0000 0.0000
```

15.
A plane-wave DFT calculation with PBE-GGA was carried out for a relaxed structure of Nd8GaOs2. Values from VASP.

Properties
size of the total moment = 0.000 μB per atom
VASP energy = -64.5 eV/cell

```
&SYSTEM
  ibrav = 0, nat = 11, ntyp = 3
/
ATOMIC_SPECIES
Nd 144.24 Nd.upf
Os 190.23 Os.upf
Ga 69.72 Ga.upf
CELL_PARAMETERS angstrom
5.5932 0.1741 -0.8620
-1.7696 7.2515 -2.9670
0.1511 -0.0032 8.0309
ATOMIC_POSITIONS crystal
Nd 0.7990 0.6259 0.6259
Nd 0.1995 0.3787 0.3787
Nd 0.9999 0.7609 0.2470
Os 0.4988 0.3149 0.6908
Nd 0.4172 0.9383 0.6782
Nd 0.4172 0.6782 0.9383
Nd 0.5827 0.3291 0.0685
Nd 0.9999 0.2470 0.7609
Nd 0.5827 0.0685 0.3291
Ga 0.0039 0.0017 0.0017
Os 0.4988 0.6908 0.3149
```

16.
A plane-wave DFT calculation with PBE-GGA was carried out for a relaxed structure of NdGa2Os. Values from VASP.

Properties
size of the total moment = 0.000 μB per atom
VASP energy = -23.5 eV/cell

```
&SYSTEM
  ibrav = 0, nat = 4, ntyp = 3
/
ATOMIC_SPECIES
Os 190.23 Os.upf
Nd 144.24 Nd.upf
Ga 69.72 Ga.upf
CELL_PARAMETERS angstrom
4.2747 0.0000 0.0000
2.1373 3.7020 0.0000
2.1373 1.2340 5.1389
ATOMIC_POSITIONS crystal
Os 0.5000 0.5000 0.5000
Nd 0.0000 0.0000 0.0000
Ga 0.7872 0.7872 0.6384
Ga 0.2128 0.2128 0.3616
```